1.
Compound: ZnP2HS
Source: Alexandria
Functional: PBE-GGA
Structure: optimized geometry

Cell: 3.4620 3.4620 7.9687 Å, 90.00 90.00 90.00°
Closest atoms and distances in Å follow each position.
Positions (direct):
P (0.0000, 0.5000, 0.0000)  2 H 1.73
P (0.5000, 0.0000, 0.0000)  2 H 1.73
H (0.0000, 0.0000, 0.0000)  4 P 1.73
Zn (0.5000, 0.5000, 0.5000)  4 S 2.45
S (0.0000, 0.0000, 0.5000)  4 Zn 2.45

crystal system = tetragonal

2.
Compound: ZnP2HS
Source: Alexandria
Functional: PBE-GGA
Structure: optimized geometry

Cell: 4.6461 4.6461 4.7648 Å, 90.00 90.00 90.00°
Closest atoms and distances in Å follow each position.
Positions (direct):
H (0.5000, 0.5000, 0.5000)  4 S 3.29, 8 P 3.33
Zn (0.0000, 0.0000, 0.0000)  4 P 2.32, 2 S 2.38
S (0.0000, 0.0000, 0.5000)  2 Zn 2.38
P (0.5000, 0.0000, 0.0000)  2 Zn 2.32
P (0.0000, 0.5000, 0.0000)  2 Zn 2.32

crystal system = tetragonal

3.
Compound: ZrPHS2
Source: Alexandria
Functional: PBE-GGA
Structure: optimized geometry

Cell: 4.5927 4.5927 3.2812 Å, 90.00 90.00 90.00°
Closest atoms and distances in Å follow each position.
Positions (direct):
S (0.5000, 0.0000, 0.0000)  2 H 2.30
S (0.0000, 0.5000, 0.0000)  2 H 2.30
H (0.0000, 0.0000, 0.0000)  2 P 1.64
Zr (0.5000, 0.5000, 0.5000)  8 S 2.82
P (0.0000, 0.0000, 0.5000)  2 H 1.64

crystal system = tetragonal

4.
Compound: ZrPHS2
Source: Alexandria
Functional: PBE-GGA
Structure: optimized geometry

Cell: 4.9954 4.9954 5.2030 Å, 90.00 90.00 90.00°
Closest atoms and distances in Å follow each position.
Positions (direct):
Zr (0.0000, 0.0000, 0.0000)  4 S 2.50, 2 P 2.60
S (0.0000, 0.5000, 0.0000)  2 Zr 2.50
S (0.5000, 0.0000, 0.0000)  2 Zr 2.50
P (0.0000, 0.0000, 0.5000)  2 Zr 2.60
H (0.5000, 0.5000, 0.5000)  4 P 3.53, 8 S 3.61

crystal system = tetragonal

no.,VASP energy (eV/atom)
1,-3.41
2,-2.55
3,-5.17
4,-4.77